Entry from Alexandria: Mn5CuP4O16 after structural relaxation (PBE+U).

Values from the calculation:
Symmetry: P2_1, No. 4
E: -388.49 eV for the cell shown
Crystal system: monoclinic
Magnetization: 25.8 μB/f.u.

Cell lengths 6.1679, 11.8837, 8.9728 Å; angles 90.00, 98.87, 90.00 degrees
With the nearest neighbours (Å) after each atom.
Fractional positions:
Mn  0.0760  0.0000  0.2376  3 O 1.99-2.10
Mn  0.0838  0.6792  0.4393  5 O 2.13-2.36
Mn  0.1266  0.3634  0.1191  5 O 2.09-2.24
Mn  0.3720  0.7548  0.8773  5 O 2.14-2.22
Mn  0.4085  0.4595  0.5463  3 O 2.05-2.23
Mn  0.5915  0.9595  0.4537  3 O 2.05-2.23
Mn  0.6280  0.2548  0.1227  5 O 2.14-2.22
Mn  0.8734  0.8634  0.8809  5 O 2.09-2.24
Mn  0.9162  0.1792  0.5607  5 O 2.13-2.36
Mn  0.9240  0.5000  0.7624  3 O 1.99-2.10
Cu  0.4203  0.1008  0.8050  4 O 1.95-2.06
Cu  0.5797  0.6008  0.1950  4 O 1.95-2.06
P  0.0616  0.6347  0.1042  4 O 1.56-1.57
P  0.1368  0.9242  0.5962  4 O 1.55-1.57
P  0.3633  0.2107  0.4082  4 O 1.53-1.57
P  0.4502  0.4743  0.8847  4 O 1.54-1.58
P  0.5498  0.9743  0.1153  4 O 1.54-1.58
P  0.6367  0.7107  0.5918  4 O 1.53-1.57
P  0.8632  0.4242  0.4038  4 O 1.55-1.57
P  0.9384  0.1347  0.8958  4 O 1.56-1.57
O  0.0140  0.5210  0.0194  1 P 1.56
O  0.0730  0.4984  0.4263  1 P 1.55
O  0.0769  0.7303  0.9873  1 P 1.56
O  0.1217  0.1625  0.7985  1 P 1.57
O  0.1242  0.8466  0.7349  1 P 1.56
O  0.1465  0.8553  0.4504  1 P 1.55
O  0.1506  0.1372  0.3844  1 P 1.56
O  0.2453  0.4830  0.7622  1 P 1.55
O  0.2759  0.6297  0.2207  1 P 1.56
O  0.3463  0.2901  0.5400  1 P 1.53
O  0.3533  0.9952  0.6265  1 P 1.57
O  0.3687  0.9405  0.2075  1 P 1.54
O  0.3752  0.2774  0.2592  1 P 1.57
O  0.4229  0.3837  0.0047  1 P 1.55
O  0.4231  0.6383  0.5643  1 P 1.56
O  0.4970  0.5919  0.9642  1 P 1.58
O  0.5030  0.0919  0.0358  1 P 1.58
O  0.5769  0.1383  0.4357  1 P 1.56
O  0.5771  0.8837  0.9953  1 P 1.55
O  0.6248  0.7774  0.7408  1 P 1.57
O  0.6313  0.4405  0.7925  1 P 1.54
O  0.6467  0.4952  0.3735  1 P 1.57
O  0.6537  0.7901  0.4600  1 P 1.53
O  0.7241  0.1297  0.7793  1 P 1.56
O  0.7547  0.9830  0.2378  1 P 1.55
O  0.8494  0.6372  0.6156  1 P 1.56
O  0.8535  0.3553  0.5496  1 P 1.55
O  0.8758  0.3466  0.2651  1 P 1.56
O  0.8783  0.6625  0.2015  1 P 1.57
O  0.9231  0.2303  0.0127  1 P 1.56
O  0.9270  0.9984  0.5737  1 P 1.55
O  0.9860  0.0210  0.9806  1 P 1.56